Below is a relaxed Ce4SnSbC crystal, with properties calculated at the PBE level.

Unit cell a=6.902 b=6.899 c=8.867 alpha=90.00 beta=112.91 gamma=90.00
Each line ends with the local moment (μB).
Atoms (fractional coordinates):
1 Sn 0.610 0.750 0.220  -0.03
2 Ce 0.500 0.500 0.500  0.45
3 Ce 0.000 0.500 0.500  0.45
4 C 0.749 0.250 0.499  -0.05
5 Ce 0.500 0.000 0.500  0.45
6 Ce 0.409 0.750 0.819  0.88
7 Ce 0.091 0.750 0.183  0.93
8 Sb 0.110 0.250 0.220  -0.03
9 C 0.251 0.750 0.501  -0.05
10 Sn 0.390 0.250 0.780  -0.03
11 Ce 0.909 0.250 0.817  0.93
12 Ce 0.000 0.000 0.500  0.45
13 Sb 0.890 0.750 0.780  -0.03
14 Ce 0.591 0.250 0.181  0.88

Summary:
magnetization: 3.318 μB/f.u.
formation energy from raw total energies: -55.89 kJ/mol of atoms